Entry 1:
In2B2W, optimized geometry, DFT GGA-PBE; calculated volume = 15.01 A^3/atom; raw total energy = -4.986 eV/atom
1.0
-1.962 1.962 4.876
1.962 -1.962 4.876
1.962 1.962 -4.876
In B W
2 2 1
Direct
0.250 0.750 0.500
0.750 0.250 0.500
0.082 0.082 0.000
0.918 0.918 0.000
0.500 0.500 0.000

=====

Entry 2:
InBW3, optimized geometry, DFT GGA-PBE; calculated volume = 15.64 A^3/atom; raw total energy = -9.194 eV/atom
1.0
4.277 0.000 0.000
0.000 4.277 0.000
0.000 0.000 4.277
In B W
1 1 3
Direct
0.000 0.000 0.000
0.500 0.500 0.500
0.000 0.500 0.500
0.500 0.000 0.500
0.500 0.500 0.000

=====

Entry 3:
In3BW, optimized geometry, DFT GGA-PBE; calculated volume = 20.59 A^3/atom; raw total energy = -4.230 eV/atom
1.0
4.687 0.000 0.000
0.000 4.687 0.000
0.000 0.000 4.687
In B W
3 1 1
Direct
0.000 0.000 0.500
0.000 0.500 0.000
0.500 0.000 0.000
0.000 0.000 0.000
0.500 0.500 0.500

=====

Entry 4:
In2B2W, optimized geometry, DFT GGA-PBE; calculated volume = 14.85 A^3/atom; raw total energy = -5.579 eV/atom
1.0
6.359 0.000 0.000
0.000 6.359 0.000
0.000 0.000 3.671
In B W
4 4 2
Direct
0.153 0.347 0.000
0.347 0.847 0.000
0.653 0.153 0.000
0.847 0.653 0.000
0.179 0.679 0.500
0.321 0.179 0.500
0.679 0.821 0.500
0.821 0.321 0.500
0.000 0.000 0.500
0.500 0.500 0.500

=====

Entry 5:
In3BW, optimized geometry, DFT GGA-PBE; calculated volume = 29.78 A^3/atom; raw total energy = -3.971 eV/atom
1.0
5.300 0.000 0.000
0.000 5.300 0.000
0.000 0.000 5.300
In B W
3 1 1
Direct
0.000 0.000 0.500
0.000 0.500 0.000
0.500 0.000 0.000
0.500 0.500 0.500
0.000 0.000 0.000

=====

Entry 6:
YInB2, optimized geometry, DFT GGA-PBE; calculated volume = 18.51 A^3/atom; raw total energy = -4.945 eV/atom
1.0
-2.257 2.257 7.268
2.257 -2.257 7.268
2.257 2.257 -7.268
Y In B
2 2 4
Direct
0.000 0.000 0.000
0.750 0.250 0.500
0.250 0.750 0.500
0.500 0.500 0.000
0.227 0.625 0.102
0.375 0.477 0.602
0.523 0.125 0.898
0.875 0.773 0.398

=====

Entry 7:
YIn3B, optimized geometry, DFT GGA-PBE; calculated volume = 40.49 A^3/atom; raw total energy = -2.736 eV/atom
1.0
5.872 0.000 0.000
0.000 5.872 0.000
0.000 0.000 5.872
Y In B
1 3 1
Direct
0.000 0.000 0.000
0.000 0.000 0.500
0.000 0.500 0.000
0.500 0.000 0.000
0.500 0.500 0.500

=====

Entry 8:
YIn2B, optimized geometry, DFT GGA-PBE; calculated volume = 21.44 A^3/atom; raw total energy = -4.555 eV/atom
1.0
-3.968 3.968 2.723
3.968 -3.968 2.723
3.968 3.968 -2.723
Y In B
2 4 2
Direct
0.000 0.000 0.000
0.750 0.250 0.500
0.212 0.625 0.087
0.375 0.462 0.587
0.538 0.125 0.913
0.875 0.788 0.413
0.250 0.750 0.500
0.500 0.500 0.000

=====

Entry 9:
YIn3B, optimized geometry, DFT GGA-PBE; calculated volume = 23.17 A^3/atom; raw total energy = -3.918 eV/atom
1.0
4.875 0.000 0.000
0.000 4.875 0.000
0.000 0.000 4.875
Y In B
1 3 1
Direct
0.000 0.000 0.000
0.000 0.500 0.500
0.500 0.000 0.500
0.500 0.500 0.000
0.500 0.500 0.500

=====

Entry 10:
YZr2InB, optimized geometry, DFT GGA-PBE; calculated volume = 22.01 A^3/atom; raw total energy = -6.946 eV/atom
1.0
4.720 0.000 0.000
0.000 4.720 0.000
0.000 0.000 4.940
Y Zr In B
1 2 1 1
Direct
0.000 0.000 0.000
0.000 0.500 0.500
0.500 0.000 0.500
0.500 0.500 0.000
0.000 0.000 0.500

=====

Entry 11:
ZnIn2B, optimized geometry, DFT GGA-PBE; calculated volume = 19.00 A^3/atom; raw total energy = -2.512 eV/atom
1.0
0.000 3.362 3.362
3.362 0.000 3.362
3.362 3.362 0.000
Zn In B
1 2 1
Direct
0.000 0.000 0.000
0.250 0.250 0.250
0.750 0.750 0.750
0.500 0.500 0.500

=====

Entry 12:
ZnIn3B, optimized geometry, DFT GGA-PBE; calculated volume = 22.81 A^3/atom; raw total energy = -2.674 eV/atom
1.0
4.849 0.000 0.000
0.000 4.849 0.000
0.000 0.000 4.849
Zn In B
1 3 1
Direct
0.000 0.000 0.000
0.000 0.500 0.500
0.500 0.000 0.500
0.500 0.500 0.000
0.500 0.500 0.500